Compound: SiNiPb2
Source: Alexandria via LeMat-Bulk
Functional: GGA-PBE
Structure: relaxed

The structure in extended XYZ format:
```
4
Lattice="-1.294 -1.640 -4.538 -3.895 -3.083 -0.525 -4.208 1.634 -2.140" Properties=species:S:1:pos:R:3 pbc="T T T"
Pb -2.349 -0.772 -1.801
Pb 0.000 0.000 0.000
Ni -4.699 -1.544 -3.601
Si -7.048 -2.317 -5.402
```

Summary:
E	-16.2	eV per cell
calculated density	9441	kg/m3
polymorph energy (0 for the lowest one)	662	meV/atom
N(E_F)	1.9	states/eV/cell


Compound: Pa2NbFe
Source: Alexandria via LeMat-Bulk
Functional: GGA-PBE
Structure: relaxed

The structure in extended XYZ format:
```
4
Lattice="3.030 0.000 0.000 1.515 2.624 0.000 1.515 0.875 10.136" Properties=species:S:1:pos:R:3 pbc="T T T"
Pa 4.545 2.624 2.876
Fe 3.030 1.749 5.068
Nb 0.000 0.000 0.000
Pa 1.515 0.875 7.260
```

Summary:
DFT formation energy	0.43	eV/atom
E	-35.8	eV per cell
calculated density	12586	kg/m3
polymorph energy (0 for the lowest one)	298	meV/atom
N(E_F)	5.5	states/eV/cell


Compound: Zn2Ag2Pb
Source: Alexandria via LeMat-Bulk
Functional: GGA-PBE
Structure: relaxed

The structure in extended XYZ format:
```
10
Lattice="-5.950 -3.791 -3.810 3.732 -7.004 1.142 -1.468 -0.351 2.641" Properties=species:S:1:pos:R:3 pbc="T T T"
Zn -1.593 -8.539 -0.268
Pb -1.109 -5.398 -1.334
Ag -3.259 -3.279 -2.247
Ag -2.843 -7.705 -2.604
Pb 0.000 0.000 0.000
Ag 0.625 -3.090 -0.064
Zn -4.448 -5.667 -1.473
Zn -2.093 -2.607 0.242
Ag 1.041 -7.516 -0.421
Zn 0.762 -5.479 1.447
```

Summary:
DFT formation energy	0.07	eV/atom
E	-23.2	eV per cell
calculated density	9404	kg/m3
polymorph energy (0 for the lowest one)	18	meV/atom
N(E_F)	2.9	states/eV/cell


Compound: Pr2InBiO6
Source: Alexandria via LeMat-Bulk
Functional: GGA-PBE
Structure: relaxed

The structure in extended XYZ format:
```
10
Lattice="-0.185 1.801 -5.349 3.204 -4.230 -1.535 -4.496 -3.085 -0.883" Properties=species:S:1:pos:R:3 pbc="T T T"
O -0.673 -3.398 -1.979
Pr -2.431 0.241 -5.739
O 1.186 -2.604 -5.375
O -0.038 0.366 -1.086
Pr 1.419 -0.331 -6.065
In -0.105 1.027 -3.050
O -1.115 -4.184 -5.827
Bi -0.750 -2.652 -4.195
O -0.454 -0.439 -4.589
O -2.756 -2.018 -5.041
```

Summary:
E	-67.4	eV per cell
calculated density	6762	kg/m3
N(E_F)	0.0	states/eV/cell


Compound: LiZnCo2
Source: Alexandria via LeMat-Bulk
Functional: GGA-PBE
Structure: relaxed

The structure in extended XYZ format:
```
4
Lattice="2.499 0.000 0.000 -0.932 2.319 0.000 0.000 0.000 8.514" Properties=species:S:1:pos:R:3 pbc="T T T"
Co 0.000 0.000 0.109
Zn 0.784 1.160 6.467
Co 0.784 1.160 2.033
Li 0.000 0.000 4.162
```

Summary:
DFT formation energy	0.07	eV/atom
E	-17.1	eV per cell
calculated density	6400	kg/m3
N(E_F)	3.1	states/eV/cell


Compound: Mg3AgW
Source: Alexandria via LeMat-Bulk
Functional: GGA-PBE
Structure: relaxed

The structure in extended XYZ format:
```
5
Lattice="-4.164 -2.819 -1.563 2.908 -4.387 0.165 -1.391 -0.732 5.026" Properties=species:S:1:pos:R:3 pbc="T T T"
W 0.000 0.000 0.000
Mg 1.454 -2.194 0.083
Mg -0.695 -0.366 2.513
Ag -1.324 -3.969 1.814
Mg -2.082 -1.409 -0.781
```

Summary:
DFT formation energy	1.35	eV/atom
E	-13.9	eV per cell
calculated density	4147	kg/m3
polymorph energy (0 for the lowest one)	204	meV/atom
N(E_F)	4.1	states/eV/cell


Which value of calculated density does entry 2 give? 12586 kg/m3